This record from Alexandria describes CrNiIr2 after structural relaxation. The functional is PBEsol.

Geometry as extended XYZ:
```
4
Lattice="2.638 0.000 0.000 0.000 4.444 0.001 -1.319 -0.772 4.280" Properties=species:S:1:pos:R:3 pbc="T T T"
Cr 1.319 0.726 2.136
Ir 0.000 0.047 0.004
Ir 0.000 2.900 2.147
Ni 0.000 1.449 4.274
```

Computed properties:
- calculated volume (Å³ per atom) = 12.54
- formation enthalpy at 0 K (kJ/mol of atoms) = -4
- energy (eV/atom) = -9.055
- density of states at the Fermi level (states/eV/atom) = 1.294
- crystal system = monoclinic

***

This record from Alexandria describes CaMn3P3O13 after structural relaxation. The functional is PBEsol.

Geometry as extended XYZ:
```
40
Lattice="6.192 0.000 0.000 0.000 7.406 0.020 0.000 -1.598 10.093" Properties=species:S:1:pos:R:3 pbc="T T T"
Ca 1.548 4.582 1.985
Ca 4.644 1.227 8.127
Mn 4.644 2.113 2.195
Mn 1.548 3.696 7.917
Mn 4.644 5.006 4.301
Mn 3.096 0.000 0.000
Mn 1.548 0.803 5.811
Mn 0.000 0.000 0.000
P 4.644 0.848 4.962
P 1.548 4.961 5.150
P 4.644 4.415 7.592
P 1.548 1.394 2.520
P 1.548 0.964 9.056
P 4.644 4.845 1.056
O 1.548 1.523 7.590
O 2.740 4.921 4.128
O 4.644 4.984 6.181
O 2.822 0.104 9.208
O 1.548 3.655 5.977
O 1.548 5.107 9.187
O 4.644 2.153 4.135
O 5.917 5.704 0.904
O 4.644 -0.362 4.047
O 1.548 6.171 6.065
O 5.845 3.469 7.883
O 4.644 0.702 0.925
O 2.749 2.340 2.229
O 1.548 2.219 9.897
O 1.548 0.825 3.931
O 3.370 5.704 0.904
O 0.356 4.921 4.128
O 3.452 0.888 5.984
O 3.443 3.469 7.883
O 4.644 4.286 2.522
O 1.548 0.233 1.506
O 4.644 5.576 8.606
O 0.347 2.340 2.229
O 0.274 0.104 9.208
O 5.836 0.888 5.984
O 4.644 3.590 0.215
```

Computed properties:
- calculated volume (Å³ per atom) = 11.58
- energy (eV/atom) = -7.998
- energy relative to the elements, uncorrected (eV per formula unit) = -42.93
- density of states at the Fermi level (states/eV/atom) = 0.134
- crystal system = monoclinic

***

This record from Alexandria describes Al5Ag7 after structural relaxation. The functional is PBEsol.

Geometry as extended XYZ:
```
12
Lattice="2.899 0.000 0.000 0.000 8.365 -0.067 0.000 -2.884 8.023" Properties=species:S:1:pos:R:3 pbc="T T T"
Al 1.450 2.238 5.380
Al 0.000 3.714 7.339
Al 1.450 4.183 -0.033
Al 0.000 1.767 0.617
Al 1.450 3.243 2.576
Ag 0.000 1.045 3.366
Ag 1.450 -1.442 4.012
Ag 0.000 4.436 4.590
Ag 0.000 -0.003 6.077
Ag 1.450 5.935 6.609
Ag 1.450 -0.454 1.347
Ag 0.000 5.484 1.879
```

Computed properties:
- energy relative to the lowest polymorph listed for this composition (eV/atom) = 0.022
- calculated volume (Å³ per atom) = 16.17
- formation enthalpy at 0 K (kJ/mol of atoms) = -6
- energy (eV/atom) = -3.695
- density of states at the Fermi level (states/eV/atom) = 0.280
- crystal system = monoclinic

***

This record from Alexandria describes Ti2MnSiPt after structural relaxation. The functional is PBEsol.

Geometry as extended XYZ:
```
5
Lattice="-2.894 2.086 2.389 -3.141 -1.434 -2.552 -0.468 -3.667 2.636" Properties=species:S:1:pos:R:3 pbc="T T T"
Si -3.251 -1.508 1.236
Mn 0.000 0.000 0.000
Pt -0.234 -1.834 1.318
Ti -1.570 -0.717 -1.276
Ti -1.447 1.043 1.194
```

Computed properties:
- calculated volume (Å³ per atom) = 16.74
- energy (eV/atom) = -7.412
- energy relative to the elements, uncorrected (eV per formula unit) = 2.06
- density of states at the Fermi level (states/eV/atom) = 1.276
- crystal system = tetragonal